3
Lattice="2.831 0.000 0.000 0.000 4.076 0.000 0.000 0.000 4.415" Properties=species:S:1:pos:R:3 comment="PBE-GGA VIrOs, optimized geometry" e_above_lowest_polymorph_mev_per_atom=793 e_form_ev_per_atom=0.5033 total_energy_ev_per_atom=-9.2331 pbc="T T T"
V 0.000 0.000 0.000
Ir 0.000 2.038 2.207
Os 1.415 2.038 0.000

5
Lattice="4.559 0.000 0.000 0.000 4.559 0.000 0.000 0.000 5.933" Properties=species:S:1:pos:R:3 comment="PBE-GGA CsScIO2, optimized geometry" e_form_raw_ev_per_atom=-1.42 total_energy_ev_per_atom=-5.1532 pbc="T T T"
Cs 0.000 0.000 0.000
Sc 2.280 2.280 2.966
I 2.280 2.280 0.000
O 0.000 2.280 2.966
O 2.280 0.000 2.966

4
Lattice="2.976 0.000 0.000 0.000 2.976 0.000 0.000 0.000 7.780" Properties=species:S:1:pos:R:3 comment="PBE-GGA Tc2TePt, optimized geometry" e_form_raw_ev_per_atom=0.24 total_energy_ev_per_atom=-7.2416 pbc="T T T"
Tc 0.000 0.000 0.000
Tc 1.488 1.488 1.643
Te 0.000 0.000 3.548
Pt 1.488 1.488 5.930

5
Lattice="4.816 0.000 0.000 0.000 4.816 0.000 0.000 0.000 4.816" Properties=species:S:1:pos:R:3 comment="PBE-GGA Mg3CuAs, optimized geometry" e_above_lowest_polymorph_mev_per_atom=0 e_form_ev_per_atom=0.1644 total_energy_ev_per_atom=-2.5415 pbc="T T T"
Mg 0.000 0.000 2.408
Mg 0.000 2.408 0.000
Mg 2.408 0.000 0.000
Cu 0.000 0.000 0.000
As 2.408 2.408 2.408

4
Lattice="-2.042 2.042 4.402 2.042 -2.042 4.402 2.042 2.042 -4.402" Properties=species:S:1:pos:R:3 comment="PBE-GGA ZrPt, optimized geometry" e_form_ev_per_atom=-0.8865 total_energy_ev_per_atom=-8.1809 pbc="T T T"
Zr 2.042 1.021 1.101
Zr 0.000 1.021 3.302
Pt 2.042 -1.021 3.302
Pt 0.000 3.063 1.101

12
Lattice="-3.408 6.782 3.552 3.408 -6.782 3.552 3.408 6.782 -3.552" Properties=species:S:1:pos:R:3 comment="PBE-GGA Tb3CeRh2, optimized geometry" e_form_ev_per_atom=-0.5323 total_energy_ev_per_atom=-6.2869 pbc="T T T"
Tb 3.408 -3.272 1.776
Tb 0.000 0.000 1.776
Tb 3.408 3.272 1.776
Tb 0.000 3.510 1.776
Tb 0.000 0.000 5.327
Tb 0.000 10.054 1.776
Ce 3.408 0.000 0.000
Ce 0.000 6.782 0.000
Rh 1.577 1.770 0.000
Rh 1.577 -1.770 3.552
Rh 1.830 8.552 0.000
Rh 1.830 5.012 3.552